(1)
Entry from Alexandria via LeMat-Bulk: a relaxed structure of BaSrTeBr (PBE).

Lattice parameters (Å, degrees): 5.7769 5.7769 5.7769 60.00 60.00 60.00
Atoms (fractional coordinates):
Sr 0.2500 0.2500 0.2500
Te 0.0000 0.0000 0.0000
Ba 0.7500 0.7500 0.7500
Br 0.5000 0.5000 0.5000

Results
SG: F-43m
Uncorrected energy (eV/atom): -3.59
ρ (g/cm3): 5.27
N(E_F) (states/eV/atom): 0.544

(2)
Entry from Alexandria via LeMat-Bulk: a relaxed structure of BaSrTl2Br6 (PBE).

Lattice parameters (Å, degrees): 8.2732 8.2735 8.6161 61.27 61.27 59.97
Atoms (fractional coordinates):
Ba 0.8161 0.8163 0.5513
Sr 0.3186 0.3186 0.0440
Tl 0.5246 0.5243 0.4268
Tl 0.0220 0.0221 0.9342
Br 0.5942 0.1941 0.2555
Br 0.1939 0.9561 0.2552
Br 0.9564 0.5945 0.2554
Br 0.4364 0.6851 0.7639
Br 0.6852 0.1138 0.7645
Br 0.1141 0.4367 0.7644

Results
SG: R3
Uncorrected energy (eV/atom): -3.46
ρ (g/cm3): 4.35
N(E_F) (states/eV/atom): 0.000

(3)
Entry from Alexandria via LeMat-Bulk: a relaxed structure of Ba2SrWBr (PBE).

Lattice parameters (Å, degrees): 6.7699 5.1019 6.7699 90.00 90.00 90.00
Each line ends with the local moment (μB).
Atoms (fractional coordinates):
Sr 0.0000 0.0000 0.0000  -0.06
Br 0.5000 0.5000 0.5000  0.00
Ba 0.0000 0.0000 0.5000  -0.12
Ba 0.5000 0.0000 0.0000  -0.07
W 0.0000 0.5000 0.0000  1.56

Results
SG: P4/mmm
Uncorrected energy (eV/atom): -2.88
ρ (g/cm3): 4.45
N(E_F) (states/eV/atom): 1.198

(4)
Entry from Alexandria via LeMat-Bulk: a relaxed structure of BaSrZn2Br8 (PBE).

Lattice parameters (Å, degrees): 6.8885 6.8885 10.2420 90.00 90.00 120.00
Atoms (fractional coordinates):
Ba 0.0000 0.0000 0.0000
Sr 0.0000 0.0000 0.5000
Zn 0.6667 0.3333 0.2303
Zn 0.3333 0.6667 0.7697
Br 0.3333 0.6667 0.0045
Br 0.3196 0.3200 0.2932
Br 0.6800 0.9996 0.2932
Br 0.6667 0.3333 0.9955
Br 0.3200 0.0004 0.7068
Br 0.6804 0.6800 0.7068
Br 0.9996 0.3196 0.7068
Br 0.0004 0.6804 0.2932

Results
SG: P-3
Uncorrected energy (eV/atom): -3.08
ρ (g/cm3): 3.93
N(E_F) (states/eV/atom): 0.000

(5)
Entry from Alexandria via LeMat-Bulk: a relaxed structure of Ba4TaBr (PBE).

Lattice parameters (Å, degrees): 7.3015 7.3015 7.3015 60.00 60.00 60.00
Each line ends with the local moment (μB).
Atoms (fractional coordinates):
Ba 0.8772 0.3743 0.3743  0.01
Ba 0.3743 0.3743 0.8772  0.01
Ba 0.3743 0.8772 0.3743  0.01
Ba 0.3743 0.3743 0.3743  0.01
Ta 0.0000 0.0000 0.0000  2.10
Br 0.7500 0.7500 0.7500  0.03

Results
SG: F-43m
Uncorrected energy (eV/atom): -2.70
ρ (g/cm3): 4.89
N(E_F) (states/eV/atom): 1.349

(6)
Entry from Alexandria via LeMat-Bulk: a relaxed structure of BaTaBr (PBE).

Lattice parameters (Å, degrees): 7.3875 7.3876 3.3843 76.76 76.76 26.48
Atoms (fractional coordinates):
Ba 0.0046 0.0046 0.9954
Br 0.3015 0.3015 0.6985
Ta 0.6939 0.6939 0.3061

Results
SG: I4mm
Uncorrected energy (eV/atom): -4.74
ρ (g/cm3): 8.26
N(E_F) (states/eV/atom): 0.553

(7)
Entry from Alexandria via LeMat-Bulk: a relaxed structure of BaTaBr (PBE).

Lattice parameters (Å, degrees): 5.3172 5.3172 5.3172 60.00 60.00 60.00
Each line ends with the local moment (μB).
Atoms (fractional coordinates):
Ba 0.5000 0.5000 0.5000  0.04
Br 0.7500 0.7500 0.7500  0.00
Ta 0.0000 0.0000 0.0000  1.38

Results
SG: F-43m
Uncorrected energy (eV/atom): -4.18
ρ (g/cm3): 6.22
N(E_F) (states/eV/atom): 1.214

(8)
Entry from Alexandria via LeMat-Bulk: a relaxed structure of Ba3TaBr (PBE).

Lattice parameters (Å, degrees): 6.1330 6.1330 6.1330 90.00 90.00 90.00
Atoms (fractional coordinates):
Ba 0.0000 0.5000 0.0000
Ba 0.0000 0.0000 0.5000
Ba 0.5000 0.0000 0.0000
Br 0.5000 0.5000 0.5000
Ta 0.0000 0.0000 0.0000

Results
SG: Pm-3m
Uncorrected energy (eV/atom): -3.48
ρ (g/cm3): 4.84
N(E_F) (states/eV/atom): 1.627

(9)
Entry from Alexandria via LeMat-Bulk: a relaxed structure of BaTa4Br (PBE).

Lattice parameters (Å, degrees): 5.9355 5.9355 5.9355 60.00 60.00 60.00
Atoms (fractional coordinates):
Ba 0.7500 0.7500 0.7500
Ta 0.8425 0.3858 0.3858
Ta 0.3858 0.3858 0.8425
Ta 0.3858 0.8425 0.3858
Ta 0.3858 0.3858 0.3858
Br 0.0000 0.0000 0.0000

Results
SG: F-43m
Uncorrected energy (eV/atom): -7.49
ρ (g/cm3): 10.57
N(E_F) (states/eV/atom): 1.286

(10)
Entry from Alexandria via LeMat-Bulk: a relaxed structure of BaTaBr (PBE).

Lattice parameters (Å, degrees): 5.3851 5.3851 3.5023 90.00 90.00 120.00
Each line ends with the local moment (μB).
Atoms (fractional coordinates):
Ba 0.0000 0.0000 0.0002  0.21
Br 0.6667 0.3333 0.4998  0.03
Ta 0.3333 0.6667 0.5001  1.50

Results
SG: P-6m2
Uncorrected energy (eV/atom): -4.45
ρ (g/cm3): 7.52
N(E_F) (states/eV/atom): 1.182

(11)
Entry from Alexandria via LeMat-Bulk: a relaxed structure of BaTaBr (PBE).

Lattice parameters (Å, degrees): 3.4881 3.4881 7.9336 90.00 90.00 120.00
Atoms (fractional coordinates):
Ba 0.0000 0.0000 0.9747
Br 0.6667 0.3333 0.3973
Ta 0.3333 0.6667 0.6281

Results
SG: P3m1
Uncorrected energy (eV/atom): -4.83
ρ (g/cm3): 7.91
N(E_F) (states/eV/atom): 0.205

(12)
Entry from Alexandria via LeMat-Bulk: a relaxed structure of Ba2TaTlBr (PBE).

Lattice parameters (Å, degrees): 6.2581 4.8584 6.2581 90.00 90.00 90.00
Each line ends with the local moment (μB).
Atoms (fractional coordinates):
Tl 0.5000 0.5000 0.5000  -0.02
Ba 0.0000 0.0000 0.5000  0.02
Ba 0.5000 0.0000 0.0000  0.02
Br 0.0000 0.0000 0.0000  -0.01
Ta 0.0000 0.5000 0.0000  0.62

Results
SG: P4/mmm
Uncorrected energy (eV/atom): -3.70
ρ (g/cm3): 6.46
N(E_F) (states/eV/atom): 0.792

(13)
Entry from Alexandria via LeMat-Bulk: a relaxed structure of Ba2TbBr (PBE).

Lattice parameters (Å, degrees): 3.9581 3.9581 12.4916 80.88 80.88 60.00
Each line ends with the local moment (μB).
Atoms (fractional coordinates):
Tb 0.0000 0.0000 0.0000  0.18
Ba 0.0991 0.0991 0.7028  0.01
Ba 0.9009 0.9009 0.2972  0.01
Br 0.5000 0.5000 0.5000  0.00

Results
SG: R-3m
Uncorrected energy (eV/atom): -2.92
ρ (g/cm3): 5.12
N(E_F) (states/eV/atom): 1.330

(14)
Entry from Alexandria via LeMat-Bulk: a relaxed structure of BaTbTlBr6 (PBE).

Lattice parameters (Å, degrees): 7.9773 7.9773 13.6998 90.00 90.00 120.00
Atoms (fractional coordinates):
Ba 0.3333 0.6667 0.2500
Ba 0.6667 0.3333 0.7500
Tb 0.6667 0.3333 0.2500
Tb 0.3333 0.6667 0.7500
Tl 0.0000 0.0000 0.0000
Tl 0.0000 0.0000 0.5000
Br 0.6591 0.6196 0.1310
Br 0.9605 0.3409 0.1310
Br 0.3409 0.9605 0.6310
Br 0.0395 0.6591 0.8690
Br 0.3804 0.3409 0.3690
Br 0.9605 0.6196 0.3690
Br 0.6196 0.9605 0.8690
Br 0.6591 0.0395 0.3690
Br 0.0395 0.3804 0.6310
Br 0.3804 0.0395 0.1310
Br 0.6196 0.6591 0.6310
Br 0.3409 0.3804 0.8690

Results
SG: P-31c
Uncorrected energy (eV/atom): -3.86
ρ (g/cm3): 4.31
N(E_F) (states/eV/atom): 0.000

(15)
Entry from Alexandria via LeMat-Bulk: a relaxed structure of BaTc3Br (PBE).

Lattice parameters (Å, degrees): 4.7816 4.7816 4.7816 90.00 90.00 90.00
Each line ends with the local moment (μB).
Atoms (fractional coordinates):
Ba 0.5000 0.5000 0.5000  0.02
Br 0.0000 0.0000 0.0000  -0.01
Tc 0.0000 0.5000 0.0000  0.66
Tc 0.0000 0.0000 0.5000  0.72
Tc 0.5000 0.0000 0.0000  0.57

Results
SG: Pm-3m
Uncorrected energy (eV/atom): -5.52
ρ (g/cm3): 7.77
N(E_F) (states/eV/atom): 1.307

(16)
Entry from Alexandria via LeMat-Bulk: a relaxed structure of Ba3TcBr (PBE).

Lattice parameters (Å, degrees): 5.9518 5.9518 5.9518 90.00 90.00 90.00
Atoms (fractional coordinates):
Ba 0.0000 0.5000 0.0000
Ba 0.0000 0.0000 0.5000
Ba 0.5000 0.0000 0.0000
Br 0.5000 0.5000 0.5000
Tc 0.0000 0.0000 0.0000

Results
SG: Pm-3m
Uncorrected energy (eV/atom): -3.60
ρ (g/cm3): 4.65
N(E_F) (states/eV/atom): 0.683

(17)
Entry from Alexandria via LeMat-Bulk: a relaxed structure of Ba4TcBr (PBE).

Lattice parameters (Å, degrees): 7.2651 7.2651 7.2651 60.00 60.00 60.00
Each line ends with the local moment (μB).
Atoms (fractional coordinates):
Ba 0.8776 0.3741 0.3741  -0.18
Ba 0.3741 0.3741 0.8776  -0.18
Ba 0.3741 0.8776 0.3741  -0.18
Ba 0.3741 0.3741 0.3741  -0.18
Tc 0.0000 0.0000 0.0000  3.01
Br 0.7500 0.7500 0.7500  0.00

Results
SG: F-43m
Uncorrected energy (eV/atom): -2.53
ρ (g/cm3): 4.45
N(E_F) (states/eV/atom): 1.657

(18)
Entry from Alexandria via LeMat-Bulk: a relaxed structure of BaTcBr (PBE).

Lattice parameters (Å, degrees): 4.5102 4.5102 4.6548 90.00 90.00 120.00
Each line ends with the local moment (μB).
Atoms (fractional coordinates):
Ba 0.0000 0.0000 0.9999  -0.03
Br 0.6667 0.3333 0.5004  0.03
Tc 0.3333 0.6667 0.4998  1.61

Results
SG: P-6m2
Uncorrected energy (eV/atom): -4.35
ρ (g/cm3): 6.38
N(E_F) (states/eV/atom): 0.693

(19)
Entry from Alexandria via LeMat-Bulk: a relaxed structure of BaTcBr6 (PBE).

Lattice parameters (Å, degrees): 8.0329 6.7146 7.5985 105.01 112.07 110.23
Each line ends with the local moment (μB).
Atoms (fractional coordinates):
Ba 0.0000 0.0000 0.0000  0.01
Tc 0.5000 0.0000 0.0000  2.29
Br 0.7797 0.9817 0.2862  0.05
Br 0.4935 0.6956 0.7138  0.05
Br 0.5065 0.3044 0.2862  0.05
Br 0.2203 0.0183 0.7138  0.05
Br 0.2231 0.6685 0.0000  0.04
Br 0.7769 0.3315 0.0000  0.04

Results
SG: C2/m
Uncorrected energy (eV/atom): -3.82
ρ (g/cm3): 3.72

(20)
Entry from Alexandria via LeMat-Bulk: a relaxed structure of BaTcBr (PBE).

Lattice parameters (Å, degrees): 5.2950 5.2950 5.2950 60.00 60.00 60.00
Each line ends with the local moment (μB).
Atoms (fractional coordinates):
Ba 0.5000 0.5000 0.5000  -0.02
Br 0.7500 0.7500 0.7500  0.14
Tc 0.0000 0.0000 0.0000  3.16

Results
SG: F-43m
Uncorrected energy (eV/atom): -4.02
ρ (g/cm3): 4.99
N(E_F) (states/eV/atom): 1.982